! CuNi2Sb, relaxed, DFT PBEsol; values from VASP
&SYSTEM
  ibrav = 0, nat = 4, ntyp = 3
/
ATOMIC_SPECIES
Sb 121.76 Sb.upf
Ni 58.69 Ni.upf
Cu 63.55 Cu.upf
CELL_PARAMETERS angstrom
-1.6597 -0.5687 2.6479
1.9345 -2.4224 0.6923
3.1147 3.2445 2.6490
ATOMIC_POSITIONS crystal
Sb 0.5000 0.5000 0.0000
Ni 0.0000 0.0000 0.2622
Ni 0.0000 0.0000 0.7378
Cu 0.5000 0.5000 0.5000
! - DFT total energy (eV/atom) = -5.281
! - space-group type = P4/mmm, No. 123